[1]
Below is an optimized crystal structure of ZrTiP3, with properties calculated at the PBE level.

Values from the calculation:
ΔE_f = 0.02 eV/atom
Density = 3.94 g cm⁻³
Magnetization = 0.00 μB/f.u.
Calculated volume = 97.8 Å³/cell
E above lowest polymorph = 0.0 meV per atom

CIF file:
```
data_ZrTiP3
_cell_length_a 4.6079
_cell_length_b 4.6079
_cell_length_c 4.6079
_cell_angle_alpha 90.00
_cell_angle_beta 90.00
_cell_angle_gamma 90.00
_symmetry_space_group_name_H-M 'P 1'
_symmetry_Int_Tables_number 1
loop_
_symmetry_equiv_pos_as_xyz
'x,y,z'
loop_
_atom_site_label
_atom_site_fract_x
_atom_site_fract_y
_atom_site_fract_z
_atom_site_occupancy
Zr1 0.0000 0.0000 0.0000 1
Ti1 0.5000 0.5000 0.5000 1
P1 0.0000 0.5000 0.5000 1
P2 0.5000 0.0000 0.5000 1
P3 0.5000 0.5000 0.0000 1
```



[2]
Below is an optimized crystal structure of Zr2TiP2, with properties calculated at the PBE level.

Values from the calculation:
ΔE_f = -1.19 eV/atom
Density = 5.77 g cm⁻³
Magnetization = 0.00 μB/f.u.
Calculated volume = 168.2 Å³/cell

CIF file:
```
data_Zr2TiP2
_cell_length_a 6.7724
_cell_length_b 6.7724
_cell_length_c 3.6668
_cell_angle_alpha 90.00
_cell_angle_beta 90.00
_cell_angle_gamma 90.00
_symmetry_space_group_name_H-M 'P 1'
_symmetry_Int_Tables_number 1
loop_
_symmetry_equiv_pos_as_xyz
'x,y,z'
loop_
_atom_site_label
_atom_site_fract_x
_atom_site_fract_y
_atom_site_fract_z
_atom_site_occupancy
Zr1 0.1647 0.3353 0.0000 1
Zr2 0.3353 0.8353 0.0000 1
Zr3 0.6647 0.1647 0.0000 1
Zr4 0.8353 0.6647 0.0000 1
Ti1 0.0000 0.0000 0.5000 1
Ti2 0.5000 0.5000 0.5000 1
P1 0.1400 0.6400 0.5000 1
P2 0.3600 0.1400 0.5000 1
P3 0.6400 0.8600 0.5000 1
P4 0.8600 0.3600 0.5000 1
```



[3]
Below is an optimized crystal structure of ZrTi3P, with properties calculated at the PBE level.

Values from the calculation:
ΔE_f = -0.25 eV/atom
Density = 4.56 g cm⁻³
Magnetization = 0.72 μB/f.u.
Calculated volume = 96.9 Å³/cell
E above lowest polymorph = 388.3 meV per atom

CIF file:
```
data_ZrTi3P
_cell_length_a 4.5931
_cell_length_b 4.5931
_cell_length_c 4.5931
_cell_angle_alpha 90.00
_cell_angle_beta 90.00
_cell_angle_gamma 90.00
_symmetry_space_group_name_H-M 'P 1'
_symmetry_Int_Tables_number 1
loop_
_symmetry_equiv_pos_as_xyz
'x,y,z'
loop_
_atom_site_label
_atom_site_fract_x
_atom_site_fract_y
_atom_site_fract_z
_atom_site_occupancy
Zr1 0.0000 0.0000 0.0000 1
Ti1 0.0000 0.5000 0.5000 1
Ti2 0.5000 0.0000 0.5000 1
Ti3 0.5000 0.5000 0.0000 1
P1 0.5000 0.5000 0.5000 1
```



[4]
Below is an optimized crystal structure of ZrTiP2, with properties calculated at the PBE level.

Values from the calculation:
ΔE_f = -0.57 eV/atom
Density = 3.60 g cm⁻³
Magnetization = 0.00 μB/f.u.
Calculated volume = 185.7 Å³/cell
E above lowest polymorph = 647.0 meV per atom

CIF file:
```
data_ZrTiP2
_cell_length_a 6.9926
_cell_length_b 6.9926
_cell_length_c 6.9926
_cell_angle_alpha 131.89
_cell_angle_beta 131.89
_cell_angle_gamma 70.40
_symmetry_space_group_name_H-M 'P 1'
_symmetry_Int_Tables_number 1
loop_
_symmetry_equiv_pos_as_xyz
'x,y,z'
loop_
_atom_site_label
_atom_site_fract_x
_atom_site_fract_y
_atom_site_fract_z
_atom_site_occupancy
Zr1 0.0000 0.0000 0.0000 1
Zr2 0.7500 0.2500 0.5000 1
Ti1 0.2500 0.7500 0.5000 1
Ti2 0.5000 0.5000 0.0000 1
P1 0.1461 0.6250 0.0211 1
P2 0.3750 0.3961 0.5211 1
P3 0.6039 0.1250 0.9789 1
P4 0.8750 0.8539 0.4789 1
```



[5]
Below is an optimized crystal structure of ZrTi3P, with properties calculated at the PBE level.

Values from the calculation:
ΔE_f = -0.64 eV/atom
Density = 5.13 g cm⁻³
Magnetization = 0.00 μB/f.u.
Calculated volume = 344.0 Å³/cell
E above lowest polymorph = 0.0 meV per atom

CIF file:
```
data_ZrTi3P
_cell_length_a 8.5415
_cell_length_b 3.4703
_cell_length_c 11.6048
_cell_angle_alpha 90.00
_cell_angle_beta 90.00
_cell_angle_gamma 90.00
_symmetry_space_group_name_H-M 'P 1'
_symmetry_Int_Tables_number 1
loop_
_symmetry_equiv_pos_as_xyz
'x,y,z'
loop_
_atom_site_label
_atom_site_fract_x
_atom_site_fract_y
_atom_site_fract_z
_atom_site_occupancy
Zr1 0.1706 0.2500 0.0089 1
Zr2 0.3294 0.7500 0.5089 1
Zr3 0.6706 0.2500 0.4911 1
Zr4 0.8294 0.7500 0.9911 1
Ti1 0.0621 0.2500 0.4164 1
Ti2 0.0855 0.7500 0.2231 1
Ti3 0.1663 0.7500 0.7890 1
Ti4 0.3337 0.2500 0.2890 1
Ti5 0.4145 0.2500 0.7231 1
Ti6 0.4379 0.7500 0.9164 1
Ti7 0.5621 0.2500 0.0836 1
Ti8 0.5855 0.7500 0.2769 1
Ti9 0.6663 0.7500 0.7110 1
Ti10 0.8337 0.2500 0.2110 1
Ti11 0.9145 0.2500 0.7769 1
Ti12 0.9379 0.7500 0.5836 1
P1 0.1443 0.2500 0.6294 1
P2 0.3557 0.7500 0.1294 1
P3 0.6443 0.2500 0.8706 1
P4 0.8557 0.7500 0.3706 1
```



[6]
Below is an optimized crystal structure of ZrTi3P, with properties calculated at the PBE level.

Values from the calculation:
ΔE_f = 1.30 eV/atom
Density = 4.04 g cm⁻³
Magnetization = 1.90 μB/f.u.
Calculated volume = 109.2 Å³/cell
E above lowest polymorph = 1943.3 meV per atom

CIF file:
```
data_ZrTi3P
_cell_length_a 4.7792
_cell_length_b 4.7792
_cell_length_c 4.7792
_cell_angle_alpha 90.00
_cell_angle_beta 90.00
_cell_angle_gamma 90.00
_symmetry_space_group_name_H-M 'P 1'
_symmetry_Int_Tables_number 1
loop_
_symmetry_equiv_pos_as_xyz
'x,y,z'
loop_
_atom_site_label
_atom_site_fract_x
_atom_site_fract_y
_atom_site_fract_z
_atom_site_occupancy
Zr1 0.0000 0.0000 0.0000 1
Ti1 0.0000 0.0000 0.5000 1
Ti2 0.0000 0.5000 0.0000 1
Ti3 0.5000 0.0000 0.0000 1
P1 0.5000 0.5000 0.5000 1
```



[7]
Below is an optimized crystal structure of ZrTiP, with properties calculated at the PBE level.

Values from the calculation:
ΔE_f = -1.17 eV/atom
Density = 5.69 g cm⁻³
Magnetization = 0.00 μB/f.u.
Calculated volume = 297.8 Å³/cell

CIF file:
```
data_ZrTiP
_cell_length_a 6.8858
_cell_length_b 3.6016
_cell_length_c 12.0088
_cell_angle_alpha 90.00
_cell_angle_beta 90.03
_cell_angle_gamma 90.00
_symmetry_space_group_name_H-M 'P 1'
_symmetry_Int_Tables_number 1
loop_
_symmetry_equiv_pos_as_xyz
'x,y,z'
loop_
_atom_site_label
_atom_site_fract_x
_atom_site_fract_y
_atom_site_fract_z
_atom_site_occupancy
Zr1 0.0358 0.2500 0.3813 1
Zr2 0.1465 0.2500 0.0858 1
Zr3 0.4629 0.7500 0.7161 1
Zr4 0.5371 0.2500 0.2839 1
Zr5 0.8535 0.7500 0.9142 1
Zr6 0.9642 0.7500 0.6187 1
Ti1 0.1346 0.2500 0.7978 1
Ti2 0.3636 0.7500 0.4577 1
Ti3 0.4933 0.7500 0.0881 1
Ti4 0.5067 0.2500 0.9119 1
Ti5 0.6364 0.2500 0.5423 1
Ti6 0.8654 0.7500 0.2022 1
P1 0.2366 0.7500 0.2503 1
P2 0.2542 0.7500 0.9236 1
P3 0.2578 0.2500 0.5896 1
P4 0.7422 0.7500 0.4104 1
P5 0.7458 0.2500 0.0764 1
P6 0.7634 0.2500 0.7497 1
```



[8]
Below is an optimized crystal structure of ZrTiP, with properties calculated at the PBE level.

Values from the calculation:
ΔE_f = -0.80 eV/atom
Density = 5.04 g cm⁻³
Magnetization = 0.00 μB/f.u.
Calculated volume = 224.0 Å³/cell

CIF file:
```
data_ZrTiP
_cell_length_a 8.1221
_cell_length_b 8.1221
_cell_length_c 8.0164
_cell_angle_alpha 91.49
_cell_angle_beta 91.49
_cell_angle_gamma 25.08
_symmetry_space_group_name_H-M 'P 1'
_symmetry_Int_Tables_number 1
loop_
_symmetry_equiv_pos_as_xyz
'x,y,z'
loop_
_atom_site_label
_atom_site_fract_x
_atom_site_fract_y
_atom_site_fract_z
_atom_site_occupancy
Zr1 0.0733 0.0733 0.3211 1
Zr2 0.4179 0.4179 0.0938 1
Zr3 0.5821 0.5821 0.9062 1
Zr4 0.9267 0.9267 0.6789 1
Ti1 0.2492 0.2492 0.8079 1
Ti2 0.3141 0.3141 0.4509 1
Ti3 0.6859 0.6859 0.5491 1
Ti4 0.7508 0.7508 0.1921 1
P1 0.0935 0.0935 0.6572 1
P2 0.1672 0.1672 0.0678 1
P3 0.8328 0.8328 0.9322 1
P4 0.9065 0.9065 0.3428 1
```



[9]
Below is an optimized crystal structure of ZrTiP2, with properties calculated at the PBE level.

Values from the calculation:
ΔE_f = -0.79 eV/atom
Density = 5.19 g cm⁻³
Magnetization = 0.00 μB/f.u.
Calculated volume = 64.3 Å³/cell
E above lowest polymorph = 425.7 meV per atom

CIF file:
```
data_ZrTiP2
_cell_length_a 4.4970
_cell_length_b 4.4970
_cell_length_c 4.4970
_cell_angle_alpha 60.00
_cell_angle_beta 60.00
_cell_angle_gamma 60.00
_symmetry_space_group_name_H-M 'P 1'
_symmetry_Int_Tables_number 1
loop_
_symmetry_equiv_pos_as_xyz
'x,y,z'
loop_
_atom_site_label
_atom_site_fract_x
_atom_site_fract_y
_atom_site_fract_z
_atom_site_occupancy
Zr1 0.0000 0.0000 0.0000 1
Ti1 0.5000 0.5000 0.5000 1
P1 0.2500 0.2500 0.2500 1
P2 0.7500 0.7500 0.7500 1
```



[10]
Below is an optimized crystal structure of ZrTiP3, with properties calculated at the PBE level.

Values from the calculation:
ΔE_f = 0.55 eV/atom
Density = 3.25 g cm⁻³
Magnetization = 0.00 μB/f.u.
Calculated volume = 118.7 Å³/cell
E above lowest polymorph = 525.5 meV per atom

CIF file:
```
data_ZrTiP3
_cell_length_a 4.9144
_cell_length_b 4.9144
_cell_length_c 4.9144
_cell_angle_alpha 90.00
_cell_angle_beta 90.00
_cell_angle_gamma 90.00
_symmetry_space_group_name_H-M 'P 1'
_symmetry_Int_Tables_number 1
loop_
_symmetry_equiv_pos_as_xyz
'x,y,z'
loop_
_atom_site_label
_atom_site_fract_x
_atom_site_fract_y
_atom_site_fract_z
_atom_site_occupancy
Zr1 0.0000 0.0000 0.0000 1
Ti1 0.5000 0.5000 0.5000 1
P1 0.0000 0.0000 0.5000 1
P2 0.0000 0.5000 0.0000 1
P3 0.5000 0.0000 0.0000 1
```



[11]
Below is an optimized crystal structure of ZrTiP2, with properties calculated at the PBE level.

Values from the calculation:
ΔE_f = -1.22 eV/atom
Density = 4.87 g cm⁻³
Magnetization = 0.00 μB/f.u.
Calculated volume = 68.6 Å³/cell
E above lowest polymorph = 0.0 meV per atom

CIF file:
```
data_ZrTiP2
_cell_length_a 6.5150
_cell_length_b 6.5150
_cell_length_c 6.5150
_cell_angle_alpha 31.89
_cell_angle_beta 31.89
_cell_angle_gamma 31.89
_symmetry_space_group_name_H-M 'P 1'
_symmetry_Int_Tables_number 1
loop_
_symmetry_equiv_pos_as_xyz
'x,y,z'
loop_
_atom_site_label
_atom_site_fract_x
_atom_site_fract_y
_atom_site_fract_z
_atom_site_occupancy
Zr1 0.0000 0.0000 0.0000 1
Ti1 0.1776 0.1776 0.1776 1
P1 0.5817 0.5817 0.5817 1
P2 0.7614 0.7614 0.7614 1
```



[12]
Below is an optimized crystal structure of Zr3TiP4, with properties calculated at the PBE level.

Values from the calculation:
ΔE_f = -1.26 eV/atom
Density = 5.17 g cm⁻³
Magnetization = 0.00 μB/f.u.
Calculated volume = 285.9 Å³/cell

CIF file:
```
data_Zr3TiP4
_cell_length_a 6.4005
_cell_length_b 7.3847
_cell_length_c 6.4081
_cell_angle_alpha 90.00
_cell_angle_beta 109.25
_cell_angle_gamma 90.00
_symmetry_space_group_name_H-M 'P 1'
_symmetry_Int_Tables_number 1
loop_
_symmetry_equiv_pos_as_xyz
'x,y,z'
loop_
_atom_site_label
_atom_site_fract_x
_atom_site_fract_y
_atom_site_fract_z
_atom_site_occupancy
Zr1 0.0000 0.1250 0.2500 1
Zr2 0.0000 0.3754 0.7500 1
Zr3 0.0000 0.6246 0.2500 1
Zr4 0.0000 0.8750 0.7500 1
Zr5 0.5000 0.1249 0.7500 1
Zr6 0.5000 0.8751 0.2500 1
Ti1 0.5000 0.3732 0.2500 1
Ti2 0.5000 0.6268 0.7500 1
P1 0.2548 0.1307 0.0053 1
P2 0.2548 0.8693 0.5053 1
P3 0.2616 0.3812 0.4999 1
P4 0.2616 0.6188 0.9999 1
P5 0.7384 0.3812 0.0001 1
P6 0.7384 0.6188 0.5001 1
P7 0.7452 0.1307 0.4947 1
P8 0.7452 0.8693 0.9947 1
```